KOsPt | GGA-PBE | relaxed

Lattice parameters (Å, degrees): 6.4086 6.4086 6.4086 90.00 90.00 90.00
Last column: nearest neighbours and their distance in Å.
Space group F-43m (No. 216)
Symmetry-distinct sites (fractional):
1 K 0.0000 0.0000 0.0000 [4 per cell]  4 Os 2.78
2 Os 0.2500 0.2500 0.7500 [4 per cell]  4 K 2.78, 4 Pt 2.78
3 Pt 0.0000 0.0000 0.5000 [4 per cell]  4 Os 2.78

## Properties
- E above lowest polymorph: 1137 meV/atom
- Crystal system: cubic
- V: 263 Å³ per cell
- Total DFT energy (no corrections): -4.54 eV per atom
- Formation energy from the elements: 1585 meV per atom